Arrangement P

{"formula": "BeZn3In", "functional": "GGA-PBE", "state": "optimized geometry", "magmom_total_mub_per_atom": 0.00, "space_group": "Pm-3m (221)", "vol_a3_per_atom": 27.4, "mass_density_g_cm3": 3.88, "cell": [[5.1565, 0.0000, 0.0000], [0.0000, 5.1565, 0.0000], [0.0000, 0.0000, 5.1565]], "species": ["Zn", "Zn", "Zn", "Be", "In"], "frac_coords": [[0.0000, 0.5000, 0.0000], [0.5000, 0.0000, 0.0000], [0.0000, 0.0000, 0.5000], [0.5000, 0.5000, 0.5000], [0.0000, 0.0000, 0.0000]]}

Arrangement Q

{"formula": "BeZn3In", "functional": "GGA-PBE", "state": "optimized geometry", "magmom_total_mub_per_atom": 0.00, "space_group": "Pm-3m (221)", "vol_a3_per_atom": 18.0, "mass_density_g_cm3": 5.90, "cell": [[-2.4624, -3.1289, -2.0595], [0.2256, -2.5840, 3.6560], [-3.7390, 1.9046, 1.5769]], "species": ["In", "Zn", "Zn", "Zn", "Be"], "frac_coords": [[0.5000, 0.5000, 0.5000], [0.0000, 0.0000, 0.5000], [0.5000, 0.0000, 0.0000], [0.0000, 0.5000, 0.0000], [0.0000, 0.0000, 0.0000]]}

Winner for stability: arrangement Q

Arrangement P

{"formula": "Zr2BeIn", "functional": "GGA-PBE", "state": "optimized geometry", "magmom_total_mub_per_atom": 0.00, "space_group": "Cmmm (65)", "vol_a3_per_atom": 19.5, "mass_density_g_cm3": 6.50, "cell": [[6.7703, 0.0135, 0.0395], [-2.6379, 4.3287, -0.0047], [1.4946, 0.9127, 2.6760]], "species": ["Zr", "Zr", "Be", "In"], "frac_coords": [[0.5000, 0.0000, 0.5000], [0.0000, 0.0000, 0.0000], [0.0000, 0.5000, 0.5000], [0.5000, 0.5000, 0.0000]]}

Arrangement Q

{"formula": "Zr2BeIn", "functional": "GGA-PBE", "state": "optimized geometry", "magmom_total_mub_per_atom": 0.00, "space_group": "I-42d (122)", "vol_a3_per_atom": 20.4, "mass_density_g_cm3": 6.24, "cell": [[7.5614, 0.0000, 0.0000], [0.0000, 7.5614, 0.0000], [3.7807, 3.7807, 2.8516]], "species": ["Be", "Be", "Zr", "Zr", "Zr", "Zr", "In", "In"], "frac_coords": [[0.5000, 0.5000, 0.0000], [0.2500, 0.7500, 0.5000], [0.1578, 0.6250, 0.2500], [0.5922, 0.1250, 0.2500], [0.8750, 0.8422, 0.7500], [0.3750, 0.4078, 0.7500], [0.7500, 0.2500, 0.5000], [0.0000, 0.0000, 0.0000]]}

Arrangement R

{"formula": "Zr2BeIn", "functional": "GGA-PBE", "state": "optimized geometry", "magmom_total_mub_per_atom": 0.00, "space_group": "P4mm (99)", "vol_a3_per_atom": 19.5, "mass_density_g_cm3": 6.52, "cell": [[3.1210, 0.0340, 0.0000], [-0.0384, 3.1209, 0.0000], [0.0000, 0.0000, 8.0021]], "species": ["Be", "Zr", "Zr", "In"], "frac_coords": [[0.0000, 0.0000, 0.5070], [0.5000, 0.5000, 0.2922], [0.0000, 0.0000, 0.9955], [0.5000, 0.5000, 0.7053]]}

Winner for stability: arrangement P

Arrangement P

{"formula": "Zr2BeIn", "functional": "GGA-PBE", "state": "optimized geometry", "magmom_total_mub_per_atom": 0.00, "space_group": "R-3m (166)", "vol_a3_per_atom": 20.4, "mass_density_g_cm3": 6.23, "cell": [[8.8383, 0.0104, 0.0062], [8.2163, 3.2569, 0.0062], [8.2163, 1.5741, 2.8513]], "species": ["Zr", "Zr", "In", "Be"], "frac_coords": [[0.9841, 0.9841, 0.9841], [0.5159, 0.5159, 0.5159], [0.7500, 0.7500, 0.7500], [0.2500, 0.2500, 0.2500]]}

Arrangement Q

{"formula": "Zr2BeIn", "functional": "GGA-PBE", "state": "optimized geometry", "magmom_total_mub_per_atom": 0.00, "space_group": "F-43m (216)", "vol_a3_per_atom": 19.9, "mass_density_g_cm3": 6.39, "cell": [[4.8284, 0.0000, 0.0000], [2.4142, 4.1815, 0.0000], [2.4142, 1.3938, 3.9424]], "species": ["Be", "Zr", "Zr", "In"], "frac_coords": [[0.5000, 0.5000, 0.5000], [0.2500, 0.2500, 0.2500], [0.0000, 0.0000, 0.0000], [0.7500, 0.7500, 0.7500]]}

Arrangement R

{"formula": "Zr2BeIn", "functional": "GGA-PBE", "state": "optimized geometry", "magmom_total_mub_per_atom": 0.00, "space_group": "Fm-3m (225)", "vol_a3_per_atom": 19.6, "mass_density_g_cm3": 6.50, "cell": [[0.0000, 3.3956, 3.3956], [3.3956, 0.0000, 3.3956], [3.3956, 3.3956, 0.0000]], "species": ["In", "Zr", "Zr", "Be"], "frac_coords": [[0.5000, 0.5000, 0.5000], [0.2500, 0.2500, 0.2500], [0.7500, 0.7500, 0.7500], [0.0000, 0.0000, 0.0000]]}

Arrangement S

{"formula": "Zr2BeIn", "functional": "GGA-PBE", "state": "optimized geometry", "magmom_total_mub_per_atom": 0.00, "space_group": "Pm (6)", "vol_a3_per_atom": 19.9, "mass_density_g_cm3": 6.40, "cell": [[-3.5735, 0.7849, 1.8444], [0.7924, -2.2168, 2.4785], [2.8399, 3.0693, 4.1962]], "species": ["Zr", "Zr", "In", "Be"], "frac_coords": [[0.5000, 0.2880, 0.2992], [0.0000, 0.9460, 0.9842], [0.5000, 0.5658, 0.7446], [0.0000, 0.7002, 0.4721]]}

Winner for stability: arrangement S

Arrangement P

{"formula": "Zr2BeIn", "functional": "GGA-PBE", "state": "optimized geometry", "magmom_total_mub_per_atom": 0.00, "space_group": "Pmmm (47)", "vol_a3_per_atom": 19.3, "mass_density_g_cm3": 6.60, "cell": [[3.7359, 0.0000, 0.0000], [0.0000, 3.0854, -0.0056], [0.0000, 3.0936, 6.6822]], "species": ["Zr", "Zr", "In", "Be"], "frac_coords": [[0.0000, 0.9715, 0.0297], [0.0000, 0.5285, 0.4703], [0.5000, 0.7500, 0.7500], [0.5000, 0.2500, 0.2500]]}

Arrangement Q

{"formula": "Zr2BeIn", "functional": "GGA-PBE", "state": "optimized geometry", "magmom_total_mub_per_atom": 0.00, "space_group": "Pmm2 (25)", "vol_a3_per_atom": 20.4, "mass_density_g_cm3": 6.23, "cell": [[-0.1669, 1.0099, 3.0737], [2.3895, -3.1551, 1.1664], [4.9683, 3.4441, -0.8618]], "species": ["Zr", "Zr", "Be", "In"], "frac_coords": [[0.5000, 0.5000, 0.2707], [0.0000, 0.0000, 0.0124], [0.0000, 0.0000, 0.4714], [0.5000, 0.5000, 0.7455]]}

Arrangement R

{"formula": "Zr2BeIn", "functional": "GGA-PBE", "state": "optimized geometry", "magmom_total_mub_per_atom": 0.00, "space_group": "P4/mmm (123)", "vol_a3_per_atom": 19.5, "mass_density_g_cm3": 6.54, "cell": [[-2.9104, 0.5994, -3.1548], [-3.2061, -0.6776, 2.8289], [-0.0977, 4.0564, 0.8608]], "species": ["Be", "Zr", "Zr", "In"], "frac_coords": [[0.5000, 0.0000, 0.5000], [0.0000, 0.0000, 0.0000], [0.5000, 0.5000, 0.0000], [0.0000, 0.5000, 0.5000]]}

Winner for stability: arrangement P

Arrangement P

{"formula": "Zr2BeIn", "functional": "GGA-PBE", "state": "optimized geometry", "magmom_total_mub_per_atom": 0.00, "space_group": "I-4m2 (119)", "vol_a3_per_atom": 19.7, "mass_density_g_cm3": 6.45, "cell": [[-0.2811, 1.2276, 5.3467], [4.5003, -1.0775, 2.9596], [-1.1014, 2.5967, -4.7136]], "species": ["Be", "Zr", "Zr", "In"], "frac_coords": [[0.5000, 0.5000, 0.0000], [0.0000, 0.0000, 0.0000], [0.2500, 0.7500, 0.5000], [0.7500, 0.2500, 0.5000]]}

Arrangement Q

{"formula": "Zr2BeIn", "functional": "GGA-PBE", "state": "optimized geometry", "magmom_total_mub_per_atom": 0.00, "space_group": "Imm2 (44)", "vol_a3_per_atom": 19.3, "mass_density_g_cm3": 6.58, "cell": [[-2.4032, -3.5941, -3.7124], [0.6799, -4.4378, -3.5097], [-1.3273, -4.4124, 1.8211]], "species": ["Zr", "Zr", "In", "Be"], "frac_coords": [[0.0010, 0.0010, 0.9992], [0.7751, 0.7751, 0.7245], [0.2151, 0.2151, 0.2846], [0.5089, 0.5089, 0.4916]]}

Winner for stability: arrangement Q

Arrangement P

{"formula": "Zr2BeIn", "functional": "GGA-PBE", "state": "optimized geometry", "magmom_total_mub_per_atom": 0.00, "space_group": "P4/mmm (123)", "vol_a3_per_atom": 19.0, "mass_density_g_cm3": 6.67, "cell": [[3.0354, 0.0064, 0.0000], [-0.0082, 3.0354, 0.0000], [0.0000, 0.0000, 8.2702]], "species": ["Zr", "Zr", "In", "Be"], "frac_coords": [[0.0000, 0.0000, 0.0432], [0.0000, 0.0000, 0.4568], [0.5000, 0.5000, 0.7500], [0.5000, 0.5000, 0.2500]]}

Arrangement Q

{"formula": "Zr2BeIn", "functional": "GGA-PBE", "state": "optimized geometry", "magmom_total_mub_per_atom": 0.00, "space_group": "I4/mmm (139)", "vol_a3_per_atom": 19.4, "mass_density_g_cm3": 6.54, "cell": [[-4.9136, -1.5130, 0.3487], [-2.8332, -2.8911, -3.1888], [-0.5569, -4.1060, 1.2721]], "species": ["Be", "In", "Zr", "Zr"], "frac_coords": [[0.7500, 0.7500, 0.7500], [0.2500, 0.2500, 0.2500], [0.0001, 0.0001, 0.9998], [0.4999, 0.4999, 0.5002]]}

Winner for stability: arrangement P

Arrangement P

{"formula": "Zr2Be2In", "functional": "GGA-PBE", "state": "optimized geometry", "magmom_total_mub_per_atom": 0.00, "space_group": "I4/mmm (139)", "vol_a3_per_atom": 17.4, "mass_density_g_cm3": 6.01, "cell": [[3.0418, 0.0000, 0.0000], [0.0000, 3.0418, 0.0000], [1.5209, 1.5209, 9.4130]], "species": ["Be", "Be", "Zr", "Zr", "In"], "frac_coords": [[0.7500, 0.2500, 0.5000], [0.2500, 0.7500, 0.5000], [0.6225, 0.6225, 0.7550], [0.3775, 0.3775, 0.2450], [0.0000, 0.0000, 0.0000]]}

Arrangement Q

{"formula": "Zr2Be2In", "functional": "GGA-PBE", "state": "optimized geometry", "magmom_total_mub_per_atom": 0.00, "space_group": "P4/mbm (127)", "vol_a3_per_atom": 18.4, "mass_density_g_cm3": 5.68, "cell": [[-5.0208, 3.8971, 4.3628], [-0.7863, -6.1467, 4.5858], [2.3333, 1.0231, 1.7713]], "species": ["In", "In", "Zr", "Zr", "Zr", "Zr", "Be", "Be", "Be", "Be"], "frac_coords": [[0.0000, 0.0000, 0.0000], [0.5000, 0.5000, 0.0000], [0.3624, 0.8624, 0.0000], [0.8624, 0.6376, 0.0000], [0.6376, 0.1376, 0.0000], [0.1376, 0.3624, 0.0000], [0.6668, 0.8332, 0.5000], [0.8332, 0.3332, 0.5000], [0.3332, 0.1668, 0.5000], [0.1668, 0.6668, 0.5000]]}

Winner for stability: arrangement P

Arrangement P

{"formula": "Be2Ir", "functional": "GGA-PBE", "state": "optimized geometry", "magmom_total_mub_per_atom": 0.00, "space_group": "P6_3/mmc (194)", "vol_a3_per_atom": 10.4, "mass_density_g_cm3": 11.22, "cell": [[-3.8217, 0.8301, 0.3561], [2.1955, -0.5572, 3.2080], [0.9981, 4.5493, 0.1071]], "species": ["Ir", "Ir", "Be", "Be", "Be", "Be"], "frac_coords": [[0.6667, 0.3333, 0.7500], [0.3333, 0.6667, 0.2500], [0.0000, 0.0000, 0.5000], [0.6667, 0.3333, 0.2500], [0.3333, 0.6667, 0.7500], [0.0000, 0.0000, 0.0000]]}

Arrangement Q

{"formula": "Be2Ir", "functional": "GGA-PBE", "state": "optimized geometry", "magmom_total_mub_per_atom": 0.00, "space_group": "I4/mmm (139)", "vol_a3_per_atom": 10.2, "mass_density_g_cm3": 11.39, "cell": [[-1.9480, 1.6907, -1.2693], [0.0018, -1.7246, -2.3000], [-1.7548, -1.9951, 3.2911]], "species": ["Be", "Be", "Ir"], "frac_coords": [[0.6645, 0.6645, 0.3291], [0.3355, 0.3355, 0.6709], [0.0000, 0.0000, 0.0000]]}

Arrangement R

{"formula": "Be2Ir", "functional": "GGA-PBE", "state": "optimized geometry", "magmom_total_mub_per_atom": 0.00, "space_group": "C2/m (12)", "vol_a3_per_atom": 10.3, "mass_density_g_cm3": 11.31, "cell": [[3.0581, -2.8158, 0.7876], [3.8774, 0.5632, 1.5969], [-0.4355, -0.9890, 4.5700]], "species": ["Be", "Be", "Be", "Be", "Ir", "Ir"], "frac_coords": [[0.3248, 0.3248, 0.3928], [0.6390, 0.6390, 0.7222], [0.9530, 0.9530, 0.0518], [0.6388, 0.6388, 0.2220], [0.2688, 0.2688, 0.9253], [0.0090, 0.0090, 0.5193]]}

Arrangement S

{"formula": "Be2Ir", "functional": "GGA-PBE", "state": "optimized geometry", "magmom_total_mub_per_atom": 0.00, "space_group": "Cmcm (63)", "vol_a3_per_atom": 10.2, "mass_density_g_cm3": 11.39, "cell": [[-2.0599, -1.6016, 0.9171], [6.6775, -10.6512, -3.6026], [1.4569, -0.1216, 3.0599]], "species": ["Be", "Be", "Be", "Be", "Be", "Be", "Be", "Be", "Ir", "Ir", "Ir", "Ir"], "frac_coords": [[0.0000, 0.7907, 0.2500], [0.5000, 0.2907, 0.2500], [0.5000, 0.5459, 0.7500], [0.0000, 0.2093, 0.7500], [0.0000, 0.0459, 0.7500], [0.0000, 0.9541, 0.2500], [0.5000, 0.7093, 0.7500], [0.5000, 0.4541, 0.2500], [0.5000, 0.1115, 0.2500], [0.0000, 0.6115, 0.2500], [0.5000, 0.8885, 0.7500], [0.0000, 0.3885, 0.7500]]}

Winner for stability: arrangement Q

Arrangement P

{"formula": "BeIr5", "functional": "GGA-PBE", "state": "optimized geometry", "magmom_total_mub_per_atom": 0.00, "space_group": "P4/mmm (123)", "vol_a3_per_atom": 13.4, "mass_density_g_cm3": 20.07, "cell": [[-2.3141, 0.0102, -1.5054], [-1.1759, -1.7358, 1.7960], [-3.5850, 8.1883, 5.5663]], "species": ["Ir", "Ir", "Ir", "Ir", "Ir", "Be"], "frac_coords": [[0.5000, 0.5000, 0.6823], [0.0000, 0.0000, 0.1329], [0.5000, 0.5000, 0.3177], [0.0000, 0.0000, 0.5000], [0.0000, 0.0000, 0.8671], [0.5000, 0.5000, 0.0000]]}

Arrangement Q

{"formula": "BeIr5", "functional": "GGA-PBE", "state": "optimized geometry", "magmom_total_mub_per_atom": 0.00, "space_group": "Cm (8)", "vol_a3_per_atom": 13.9, "mass_density_g_cm3": 19.37, "cell": [[-4.5017, 0.1632, 2.3491], [-3.2528, -2.0469, 3.3226], [1.2624, 3.1320, 5.4903]], "species": ["Ir", "Ir", "Ir", "Ir", "Ir", "Be"], "frac_coords": [[0.3341, 0.3341, 0.3264], [0.6655, 0.6655, 0.6756], [0.2830, 0.2830, 0.9476], [0.9450, 0.9450, 0.6142], [0.6084, 0.6084, 0.2648], [0.9973, 0.9973, 0.0047]]}

Arrangement R

{"formula": "BeIr5", "functional": "GGA-PBE", "state": "optimized geometry", "magmom_total_mub_per_atom": 0.00, "space_group": "Cmmm (65)", "vol_a3_per_atom": 13.5, "mass_density_g_cm3": 19.82, "cell": [[2.7850, 0.0000, 0.0000], [0.0000, 4.3667, 0.0000], [0.0000, -2.1833, 6.6823]], "species": ["Ir", "Ir", "Ir", "Ir", "Ir", "Be"], "frac_coords": [[0.5000, 0.8643, 0.7286], [0.5000, 0.1357, 0.2714], [0.0000, 0.3175, 0.6349], [0.0000, 0.6825, 0.3651], [0.5000, 0.5000, 0.0000], [0.0000, 0.0000, 0.0000]]}

Winner for stability: arrangement P

Arrangement P

{"formula": "Be6Ir", "functional": "GGA-PBE", "state": "optimized geometry", "magmom_total_mub_per_atom": 0.09, "space_group": "Pm-3m (221)", "vol_a3_per_atom": 14.8, "mass_density_g_cm3": 3.94, "cell": [[4.7009, 0.0000, 0.0000], [0.0000, 4.7009, 0.0000], [0.0000, 0.0000, 4.7009]], "species": ["Be", "Be", "Be", "Be", "Be", "Be", "Ir"], "frac_coords": [[0.8044, 0.5000, 0.5000], [0.1956, 0.5000, 0.5000], [0.5000, 0.1956, 0.5000], [0.5000, 0.5000, 0.8044], [0.5000, 0.5000, 0.1956], [0.5000, 0.8044, 0.5000], [0.0000, 0.0000, 0.0000]]}

Arrangement Q

{"formula": "Be6Ir", "functional": "GGA-PBE", "state": "optimized geometry", "magmom_total_mub_per_atom": 0.00, "space_group": "Im-3m (229)", "vol_a3_per_atom": 11.3, "mass_density_g_cm3": 5.16, "cell": [[4.6874, 0.0000, 0.0000], [-1.5625, 4.4194, 0.0000], [-1.5625, -2.2097, 3.8273]], "species": ["Be", "Be", "Be", "Be", "Be", "Be", "Ir"], "frac_coords": [[0.2500, 0.7500, 0.5000], [0.5000, 0.7500, 0.2500], [0.5000, 0.2500, 0.7500], [0.2500, 0.5000, 0.7500], [0.7500, 0.5000, 0.2500], [0.7500, 0.2500, 0.5000], [0.0000, 0.0000, 0.0000]]}

Winner for stability: arrangement Q